(1)
K4Dy3BiTe8: relaxed, PBE.

## Properties
M_tot ... 0.0 μB/f.u.
ρ ... 5315 kg/m3
Formation energy (no corrections) ... -1.20 eV per atom
Total energy ... -66.42 eV/f.u.
Space group ... C2/m
Crystal system ... monoclinic

CIF file:
```
data_K4Dy3BiTe8
_chemical_formula_sum 'K4 Dy3 Bi1 Te8'
_symmetry_space_group_name_H-M 'P 1'
_symmetry_Int_Tables_number 1
_cell_length_a 9.0545
_cell_length_b 9.7686
_cell_length_c 9.0542
_cell_angle_alpha 117.67
_cell_angle_beta 120.00
_cell_angle_gamma 90.00
loop_
_symmetry_equiv_pos_as_xyz
'x,y,z'
loop_
_atom_site_label
_atom_site_type_symbol
_atom_site_fract_x
_atom_site_fract_y
_atom_site_fract_z
K1 K 0.5000 0.0000 0.0000
K2 K 0.5000 0.0000 0.5000
K3 K 0.0000 0.0000 0.0000
K4 K 0.0000 0.0000 0.5000
Dy1 Dy 0.5000 0.5000 0.0000
Dy2 Dy 0.5000 0.5000 0.5000
Dy3 Dy 0.0000 0.5000 0.5000
Bi1 Bi 0.0000 0.5000 0.0000
Te1 Te 0.2389 0.7090 0.9705
Te2 Te 0.2389 0.7090 0.4778
Te3 Te 0.2639 0.2922 0.5279
Te4 Te 0.7316 0.7090 0.9705
Te5 Te 0.2684 0.2910 0.0295
Te6 Te 0.7361 0.7078 0.4721
Te7 Te 0.7611 0.2910 0.5222
Te8 Te 0.7611 0.2910 0.0295
```

(2)
LaDy2Bi3: relaxed, PBE.

## Properties
M_tot ... 0.0 μB/f.u.
ρ ... 9024 kg/m3
Total energy ... -31.26 eV/f.u.
Formation energy ... -0.9136 eV per atom
Space group ... Immm
Crystal system ... orthorhombic

CIF file:
```
data_LaDy2Bi3
_chemical_formula_sum 'La1 Dy2 Bi3'
_symmetry_space_group_name_H-M 'P 1'
_symmetry_Int_Tables_number 1
_cell_length_a 4.5581
_cell_length_b 6.4563
_cell_length_c 7.8828
_cell_angle_alpha 114.17
_cell_angle_beta 106.81
_cell_angle_gamma 90.00
loop_
_symmetry_equiv_pos_as_xyz
'x,y,z'
loop_
_atom_site_label
_atom_site_type_symbol
_atom_site_fract_x
_atom_site_fract_y
_atom_site_fract_z
La1 La 0.0000 0.5000 0.0000
Dy1 Dy 0.6647 0.1647 0.3294
Dy2 Dy 0.3353 0.8353 0.6706
Bi1 Bi 0.3263 0.3263 0.6525
Bi2 Bi 0.0000 0.0000 0.0000
Bi3 Bi 0.6737 0.6737 0.3475
```

(3)
LaDy8Bi6: relaxed, PBE.

## Properties
M_tot ... 0.0 μB/f.u.
ρ ... 8981 kg/m3
Total energy ... -72.94 eV/f.u.
Formation energy ... -0.5275 eV per atom
Space group ... R-3
Crystal system ... trigonal

CIF file:
```
data_LaDy8Bi6
_chemical_formula_sum 'La1 Dy8 Bi6'
_symmetry_space_group_name_H-M 'P 1'
_symmetry_Int_Tables_number 1
_cell_length_a 8.1572
_cell_length_b 8.1572
_cell_length_c 9.8400
_cell_angle_alpha 65.51
_cell_angle_beta 65.51
_cell_angle_gamma 60.00
loop_
_symmetry_equiv_pos_as_xyz
'x,y,z'
loop_
_atom_site_label
_atom_site_type_symbol
_atom_site_fract_x
_atom_site_fract_y
_atom_site_fract_z
La1 La 0.0000 0.0000 0.0000
Dy1 Dy 0.5596 0.1997 0.3700
Dy2 Dy 0.8003 0.1293 0.6300
Dy3 Dy 0.1293 0.4404 0.6300
Dy4 Dy 0.6660 0.6660 0.0021
Dy5 Dy 0.3340 0.3340 0.9979
Dy6 Dy 0.8707 0.5596 0.3700
Dy7 Dy 0.1997 0.8707 0.3700
Dy8 Dy 0.4404 0.8003 0.6300
Bi1 Bi 0.4169 0.0640 0.7949
Bi2 Bi 0.9360 0.2758 0.2051
Bi3 Bi 0.2758 0.5831 0.2051
Bi4 Bi 0.7242 0.4169 0.7949
Bi5 Bi 0.0640 0.7242 0.7949
Bi6 Bi 0.5831 0.9360 0.2051
```

(4)
LaDyBi: relaxed, PBE.

## Properties
M_tot ... 0.0 μB/f.u.
ρ ... 8741 kg/m3
Total energy ... -15.49 eV/f.u.
Formation energy ... -0.6931 eV per atom
Space group ... P2_1/c
Crystal system ... monoclinic

CIF file:
```
data_LaDyBi
_chemical_formula_sum 'La4 Dy4 Bi4'
_symmetry_space_group_name_H-M 'P 1'
_symmetry_Int_Tables_number 1
_cell_length_a 6.5884
_cell_length_b 9.5215
_cell_length_c 9.5248
_cell_angle_alpha 40.47
_cell_angle_beta 90.00
_cell_angle_gamma 90.00
loop_
_symmetry_equiv_pos_as_xyz
'x,y,z'
loop_
_atom_site_label
_atom_site_type_symbol
_atom_site_fract_x
_atom_site_fract_y
_atom_site_fract_z
Bi1 Bi 0.9999 0.8678 0.8685
Bi2 Bi 0.4999 0.6322 0.6315
Bi3 Bi 0.0001 0.1322 0.1315
Bi4 Bi 0.5001 0.3678 0.3685
La1 La 0.0001 0.6779 0.6771
La2 La 0.5001 0.8221 0.8229
La3 La 0.9999 0.3221 0.3229
La4 La 0.4999 0.1779 0.1771
Dy1 Dy 0.6943 0.8038 0.1963
Dy2 Dy 0.1943 0.6961 0.3037
Dy3 Dy 0.3057 0.1962 0.8037
Dy4 Dy 0.8057 0.3039 0.6963
```

(5)
LaDy2Bi2: relaxed, PBE.

## Properties
M_tot ... 0.0 μB/f.u.
ρ ... 8436 kg/m3
Total energy ... -24.39 eV/f.u.
Formation energy ... -0.4994 eV per atom
Space group ... C2/c
Crystal system ... monoclinic

CIF file:
```
data_LaDy2Bi2
_chemical_formula_sum 'La2 Dy4 Bi4'
_symmetry_space_group_name_H-M 'P 1'
_symmetry_Int_Tables_number 1
_cell_length_a 8.1928
_cell_length_b 8.1928
_cell_length_c 6.3095
_cell_angle_alpha 111.07
_cell_angle_beta 111.07
_cell_angle_gamma 99.48
loop_
_symmetry_equiv_pos_as_xyz
'x,y,z'
loop_
_atom_site_label
_atom_site_type_symbol
_atom_site_fract_x
_atom_site_fract_y
_atom_site_fract_z
La1 La 0.1015 0.8985 0.2500
La2 La 0.8985 0.1015 0.7500
Dy1 Dy 0.7705 0.5866 0.4843
Dy2 Dy 0.4134 0.2295 0.0157
Dy3 Dy 0.5866 0.7705 0.9843
Dy4 Dy 0.2295 0.4134 0.5157
Bi1 Bi 0.3728 0.6272 0.2500
Bi2 Bi 0.8165 0.1835 0.2500
Bi3 Bi 0.1835 0.8165 0.7500
Bi4 Bi 0.6272 0.3728 0.7500
```

(6)
LaDy2Bi: relaxed, PBE.

## Properties
M_tot ... 0.0 μB/f.u.
ρ ... 9346 kg/m3
Distance to the lowest polymorph of the same formula ... 21.3 kJ/mol of atoms
Total energy ... -18.69 eV/f.u.
Formation energy ... -0.1702 eV per atom
Space group ... Fm-3m
Crystal system ... cubic

CIF file:
```
data_LaDy2Bi
_chemical_formula_sum 'La1 Dy2 Bi1'
_symmetry_space_group_name_H-M 'P 1'
_symmetry_Int_Tables_number 1
_cell_length_a 5.5296
_cell_length_b 5.5296
_cell_length_c 5.5295
_cell_angle_alpha 60.00
_cell_angle_beta 60.00
_cell_angle_gamma 60.00
loop_
_symmetry_equiv_pos_as_xyz
'x,y,z'
loop_
_atom_site_label
_atom_site_type_symbol
_atom_site_fract_x
_atom_site_fract_y
_atom_site_fract_z
La1 La 0.0000 0.0000 0.0000
Bi1 Bi 0.5000 0.5000 0.5000
Dy1 Dy 0.2499 0.2499 0.2502
Dy2 Dy 0.7501 0.7501 0.7498
```

(7)
La2DyBi3: relaxed, PBE.

## Properties
M_tot ... 0.0 μB/f.u.
ρ ... 8414 kg/m3
Distance to the lowest polymorph of the same formula ... 0.0 kJ/mol of atoms
Total energy ... -32.01 eV/f.u.
Formation energy ... -0.9853 eV per atom
Space group ... Fddd
Crystal system ... orthorhombic

CIF file:
```
data_La2DyBi3
_chemical_formula_sum 'La8 Dy4 Bi12'
_symmetry_space_group_name_H-M 'P 1'
_symmetry_Int_Tables_number 1
_cell_length_a 8.0194
_cell_length_b 8.0194
_cell_length_c 14.6514
_cell_angle_alpha 100.49
_cell_angle_beta 100.49
_cell_angle_gamma 109.54
loop_
_symmetry_equiv_pos_as_xyz
'x,y,z'
loop_
_atom_site_label
_atom_site_type_symbol
_atom_site_fract_x
_atom_site_fract_y
_atom_site_fract_z
La1 La 0.9987 0.4987 0.9974
La2 La 0.4177 0.4177 0.8354
La3 La 0.8323 0.3323 0.6646
La4 La 0.2513 0.2513 0.5026
La5 La 0.7487 0.7487 0.4974
La6 La 0.6677 0.1677 0.3354
La7 La 0.5823 0.5823 0.1646
La8 La 0.5013 0.0013 0.0026
Dy1 Dy 0.9164 0.9164 0.8328
Dy2 Dy 0.3336 0.8336 0.6672
Dy3 Dy 0.1664 0.6664 0.3328
Dy4 Dy 0.0836 0.0836 0.1672
Bi1 Bi 0.1657 0.6744 0.8300
Bi2 Bi 0.6643 0.1556 0.8300
Bi3 Bi 0.0843 0.0756 0.6700
Bi4 Bi 0.5857 0.5944 0.6700
Bi5 Bi 0.0101 0.5101 0.5000
Bi6 Bi 0.4899 0.9899 0.5000
Bi7 Bi 0.4056 0.4143 0.3300
Bi8 Bi 0.9244 0.9157 0.3300
Bi9 Bi 0.8444 0.3357 0.1700
Bi10 Bi 0.3256 0.8343 0.1700
Bi11 Bi 0.2399 0.2399 0.0000
Bi12 Bi 0.7601 0.7601 0.0000
```

(8)
LaDyBi2: relaxed, PBE.

## Properties
M_tot ... 0.0 μB/f.u.
ρ ... 8721 kg/m3
Distance to the lowest polymorph of the same formula ... 0.0 kJ/mol of atoms
Total energy ... -21.11 eV/f.u.
Formation energy ... -0.9550 eV per atom
Space group ... C2/m
Crystal system ... monoclinic

CIF file:
```
data_LaDyBi2
_chemical_formula_sum 'La1 Dy1 Bi2'
_symmetry_space_group_name_H-M 'P 1'
_symmetry_Int_Tables_number 1
_cell_length_a 4.5995
_cell_length_b 4.5995
_cell_length_c 7.9322
_cell_angle_alpha 73.11
_cell_angle_beta 73.11
_cell_angle_gamma 60.05
loop_
_symmetry_equiv_pos_as_xyz
'x,y,z'
loop_
_atom_site_label
_atom_site_type_symbol
_atom_site_fract_x
_atom_site_fract_y
_atom_site_fract_z
La1 La 0.5000 0.5000 0.5000
Dy1 Dy 0.0000 0.0000 0.0000
Bi1 Bi 0.7458 0.7458 0.7628
Bi2 Bi 0.2542 0.2542 0.2372
```

(9)
LaDy2Bi: relaxed, PBE.

## Properties
M_tot ... 0.1 μB/f.u.
ρ ... 7937 kg/m3
Distance to the lowest polymorph of the same formula ... 20.1 kJ/mol of atoms
Total energy ... -18.74 eV/f.u.
Formation energy ... -0.1825 eV per atom
Space group ... R3m
Crystal system ... trigonal

CIF file:
```
data_LaDy2Bi
_chemical_formula_sum 'La1 Dy2 Bi1'
_symmetry_space_group_name_H-M 'P 1'
_symmetry_Int_Tables_number 1
_cell_length_a 4.0802
_cell_length_b 4.0802
_cell_length_c 10.0443
_cell_angle_alpha 78.28
_cell_angle_beta 78.28
_cell_angle_gamma 60.00
loop_
_symmetry_equiv_pos_as_xyz
'x,y,z'
loop_
_atom_site_label
_atom_site_type_symbol
_atom_site_fract_x
_atom_site_fract_y
_atom_site_fract_z
La1 La 0.5007 0.5007 0.4980
Dy1 Dy 0.0681 0.0681 0.7957
Dy2 Dy 0.2650 0.2650 0.2049
Bi1 Bi 0.6662 0.6662 0.0013
```

(10)
LaDyBi: relaxed, PBE.

## Properties
M_tot ... 0.7 μB/f.u.
ρ ... 8879 kg/m3
Total energy ... -14.92 eV/f.u.
Formation energy ... -0.5024 eV per atom
Space group ... I4mm
Crystal system ... tetragonal

CIF file:
```
data_LaDyBi
_chemical_formula_sum 'La1 Dy1 Bi1'
_symmetry_space_group_name_H-M 'P 1'
_symmetry_Int_Tables_number 1
_cell_length_a 4.1597
_cell_length_b 4.1597
_cell_length_c 6.2513
_cell_angle_alpha 109.43
_cell_angle_beta 109.43
_cell_angle_gamma 90.00
loop_
_symmetry_equiv_pos_as_xyz
'x,y,z'
loop_
_atom_site_label
_atom_site_type_symbol
_atom_site_fract_x
_atom_site_fract_y
_atom_site_fract_z
Dy1 Dy 0.6361 0.6361 0.2721
Bi1 Bi 0.2723 0.2723 0.5446
La1 La 0.9416 0.9416 0.8833
```